1.
This record from Alexandria via LeMat-Bulk describes an optimized crystal structure of Ba5Tl2Pb5. The functional is PBE-GGA.

Cell: 18.8869 5.4123 11.4850 Å, 90.00 127.28 90.00°
Space group C2/m (No. 12)
One atom of each set of equivalent atoms:
Ba 0.0000 0.0000 0.0000 x2
Ba 0.1419 0.0000 0.4513 x4
Ba 0.1437 0.0000 0.8340 x4
Tl 0.1546 0.5000 0.1566 x4
Pb 0.0000 0.5000 0.5000 x2
Pb 0.0013 0.5000 0.7945 x4
Pb 0.2309 0.5000 0.7306 x4

## Properties
Total magnetic moment = 0.000 μB per atom
Total DFT energy (no corrections) = -77.091 eV per cell
Calculated formation energy = -0.4715 eV per atom
DOS(E_F) = 0.35 states/eV/atom



2.
This record from Alexandria via LeMat-Bulk describes an optimized crystal structure of Ba2Tl5Pb3. The functional is PBE-GGA.

Cell: 14.1371 14.3771 7.1144 Å, 90.00 90.00 90.00°
Space group Ibam (No. 72)
One atom of each set of equivalent atoms:
Ba 0.2480 0.1237 0.0000 x8
Tl 0.0000 0.2495 0.2500 x8
Tl 0.0000 0.5000 0.2500 x4
Tl 0.1391 0.1264 0.5000 x8
Pb 0.0000 0.0000 0.2500 x4
Pb 0.1419 0.3722 0.0000 x8

## Properties
Total magnetic moment = 0.000 μB per atom
Total DFT energy (no corrections) = -115.542 eV per cell
Calculated formation energy = -0.2084 eV per atom
DOS(E_F) = 0.65 states/eV/atom



3.
This record from Alexandria via LeMat-Bulk describes an optimized crystal structure of Ba4TlPb. The functional is PBE-GGA.

Cell: 10.3378 10.3378 10.3378 Å, 90.00 90.00 90.00°
Space group F-43m (No. 216)
One atom of each set of equivalent atoms:
Ba 0.1244 0.1244 0.1244 x16
Tl 0.0000 0.0000 0.5000 x4
Pb 0.2500 0.2500 0.7500 x4

## Properties
Energy above the most stable polymorph in this dataset = 527 meV per atom
Total magnetic moment = 0.001 μB per atom
Total DFT energy (no corrections) = -50.435 eV per cell
Calculated formation energy = 0.1928 eV per atom
DOS(E_F) = 1.54 states/eV/atom



- Look up the DOS(E_F) of the third one.
  1.54 states/eV/atom